# ErTm2Mg

An optimized crystal structure of ErTm2Mg (GGA-PBE, Alexandria via LeMat-Bulk).

Cell lengths 3.467, 3.467, 11.266 Å; angles 81.15, 81.15, 60.00 degrees
Fractional positions:
Mg 0.000 0.000 0.000
Er 0.500 0.500 0.500
Tm 0.252 0.252 0.244
Tm 0.748 0.748 0.756

- ΔE to the lowest computed polymorph: 0.045 eV per atom



# Er4Tm7Mg

An optimized crystal structure of Er4Tm7Mg (GGA-PBE, Alexandria via LeMat-Bulk).

Cell lengths 6.132, 8.255, 13.428 Å; angles 52.11, 62.87, 42.03 degrees
Fractional positions:
Tm 0.289 0.917 0.416
Tm 0.794 0.414 0.920
Tm 0.623 0.250 0.584
Tm 0.627 0.917 0.917
Tm 0.120 0.083 0.751
Tm 0.300 0.250 0.083
Tm 0.794 0.087 0.246
Mg 0.126 0.751 0.082
Er 0.120 0.416 0.416
Er 0.627 0.584 0.249
Er 0.289 0.582 0.751
Er 0.791 0.749 0.584

- ΔE to the lowest computed polymorph: 0.000 eV per atom



# Er3TmMg6

An optimized crystal structure of Er3TmMg6 (GGA-PBE, Alexandria via LeMat-Bulk).

Cell lengths 5.239, 9.196, 11.166 Å; angles 105.53, 90.00, 90.00 degrees
Fractional positions:
Mg 0.750 0.557 0.899
Mg 0.250 0.146 0.195
Mg 0.750 0.954 0.101
Mg 0.750 0.143 0.699
Mg 0.250 0.661 0.706
Mg 0.750 0.854 0.805
Mg 0.750 0.339 0.294
Mg 0.250 0.857 0.301
Mg 0.250 0.244 0.491
Mg 0.250 0.443 0.101
Mg 0.750 0.756 0.509
Mg 0.250 0.046 0.899
Tm 0.750 0.049 0.401
Tm 0.250 0.951 0.599
Er 0.750 0.454 0.602
Er 0.250 0.748 0.004
Er 0.250 0.352 0.796
Er 0.250 0.546 0.398
Er 0.750 0.252 0.996
Er 0.750 0.648 0.204



# Er3Tm5Mg2

An optimized crystal structure of Er3Tm5Mg2 (GGA-PBE, Alexandria via LeMat-Bulk).

Cell lengths 6.205, 10.574, 10.574 Å; angles 97.02, 72.94, 72.94 degrees
Fractional positions:
Tm 0.356 0.803 0.484
Tm 0.750 0.500 0.500
Tm 0.644 0.197 0.516
Tm 0.500 0.250 0.250
Tm 0.000 0.250 0.250
Tm 0.144 0.516 0.197
Tm 0.500 0.750 0.750
Tm 0.250 0.500 0.500
Tm 0.856 0.484 0.803
Tm 0.000 0.750 0.750
Er 0.902 0.850 0.346
Er 0.098 0.150 0.654
Er 0.250 0.000 0.000
Er 0.750 0.000 0.000
Er 0.598 0.654 0.150
Er 0.402 0.346 0.850
Mg 0.857 0.295 0.992
Mg 0.357 0.992 0.295
Mg 0.643 0.008 0.705
Mg 0.143 0.705 0.008



# ErTm3Mg2

An optimized crystal structure of ErTm3Mg2 (GGA-PBE, Alexandria via LeMat-Bulk).

Cell lengths 3.554, 3.554, 13.303 Å; angles 90.00, 90.00, 90.00 degrees
Fractional positions:
Mg 0.500 0.500 0.157
Mg 0.500 0.500 0.843
Tm 0.000 0.000 0.318
Tm 0.000 0.000 0.000
Tm 0.000 0.000 0.682
Er 0.500 0.500 0.500



# Er5Tm2Mg12

An optimized crystal structure of Er5Tm2Mg12 (GGA-PBE, Alexandria via LeMat-Bulk).

Cell lengths 6.311, 9.557, 10.561 Å; angles 111.36, 90.00, 109.28 degrees
Fractional positions:
Tm 0.752 0.000 0.000
Tm 0.248 0.000 0.000
Mg 0.882 0.764 0.697
Mg 0.032 0.592 0.908
Mg 0.553 0.593 0.401
Mg 0.441 0.408 0.092
Mg 0.435 0.870 0.521
Mg 0.118 0.236 0.303
Mg 0.968 0.408 0.092
Mg 0.447 0.407 0.599
Mg 0.961 0.407 0.599
Mg 0.559 0.592 0.908
Mg 0.039 0.593 0.401
Mg 0.565 0.130 0.479
Er 0.625 0.250 0.262
Er 0.596 0.191 0.802
Er 0.000 0.000 0.500
Er 0.404 0.809 0.198
Er 0.375 0.750 0.738



# Er2Tm5Mg5

An optimized crystal structure of Er2Tm5Mg5 (GGA-PBE, Alexandria via LeMat-Bulk).

Cell lengths 5.220, 6.556, 11.187 Å; angles 108.36, 90.00, 113.46 degrees
Fractional positions:
Mg 0.173 0.346 0.477
Mg 0.757 0.513 0.762
Mg 0.000 0.000 0.000
Mg 0.827 0.654 0.523
Mg 0.243 0.487 0.238
Tm 0.500 0.000 0.500
Tm 0.603 0.205 0.254
Tm 0.658 0.316 0.984
Tm 0.342 0.684 0.016
Tm 0.397 0.795 0.746
Er 0.910 0.821 0.258
Er 0.090 0.179 0.742



# Er3Tm7Mg2

An optimized crystal structure of Er3Tm7Mg2 (GGA-PBE, Alexandria via LeMat-Bulk).

Cell lengths 3.481, 5.645, 18.776 Å; angles 103.76, 90.00, 90.00 degrees
Fractional positions:
Tm 0.500 0.281 0.539
Tm 0.500 0.986 0.170
Tm 0.500 0.014 0.830
Tm 0.500 0.719 0.461
Tm 0.000 0.000 0.000
Tm 0.000 0.467 0.147
Tm 0.000 0.533 0.853
Er 0.000 0.853 0.630
Er 0.000 0.147 0.370
Er 0.500 0.500 0.000
Mg 0.500 0.410 0.707
Mg 0.500 0.590 0.293



# Y2Er6Tm3Mg

An optimized crystal structure of Y2Er6Tm3Mg (GGA-PBE, Alexandria via LeMat-Bulk).

Cell lengths 6.050, 6.050, 11.590 Å; angles 95.03, 95.03, 120.04 degrees
Fractional positions:
Er 0.917 0.584 0.749
Er 0.083 0.416 0.251
Er 0.250 0.250 0.748
Er 0.416 0.083 0.251
Er 0.584 0.917 0.749
Er 0.750 0.750 0.252
Tm 0.834 0.166 0.500
Tm 0.166 0.834 0.500
Tm 0.500 0.500 0.500
Mg 0.000 0.000 0.000
Y 0.334 0.666 0.000
Y 0.666 0.334 0.000



# YEr2Tm2Mg5

An optimized crystal structure of YEr2Tm2Mg5 (GGA-PBE, Alexandria via LeMat-Bulk).

Cell lengths 5.035, 10.512, 10.512 Å; angles 90.00, 90.00, 90.00 degrees
Fractional positions:
Tm 0.000 0.618 0.882
Tm 0.000 0.118 0.618
Tm 0.000 0.882 0.382
Tm 0.000 0.382 0.118
Er 0.000 0.822 0.678
Er 0.000 0.322 0.822
Er 0.000 0.178 0.322
Er 0.000 0.678 0.178
Y 0.000 0.500 0.500
Y 0.000 0.000 0.000
Mg 0.500 0.303 0.575
Mg 0.500 0.575 0.697
Mg 0.500 0.803 0.925
Mg 0.500 0.925 0.197
Mg 0.500 0.197 0.075
Mg 0.500 0.000 0.500
Mg 0.500 0.425 0.303
Mg 0.500 0.500 0.000
Mg 0.500 0.075 0.803
Mg 0.500 0.697 0.425



# YEr2Tm2Mg2

An optimized crystal structure of YEr2Tm2Mg2 (GGA-PBE, Alexandria via LeMat-Bulk).

Cell lengths 5.384, 5.384, 8.520 Å; angles 71.58, 71.58, 60.00 degrees
Fractional positions:
Mg 0.711 0.711 0.867
Mg 0.289 0.289 0.133
Tm 0.155 0.155 0.535
Tm 0.845 0.845 0.465
Y 0.000 0.000 0.000
Er 0.573 0.573 0.282
Er 0.427 0.427 0.718



# Y6Er3Tm2Mg

An optimized crystal structure of Y6Er3Tm2Mg (GGA-PBE, Alexandria via LeMat-Bulk).

Cell lengths 6.113, 6.113, 11.628 Å; angles 95.07, 95.07, 120.02 degrees
Fractional positions:
Y 0.918 0.585 0.752
Y 0.251 0.251 0.751
Y 0.082 0.415 0.248
Y 0.415 0.082 0.248
Y 0.585 0.918 0.752
Y 0.749 0.749 0.249
Tm 0.334 0.666 0.000
Tm 0.666 0.334 0.000
Er 0.166 0.834 0.500
Er 0.500 0.500 0.500
Er 0.834 0.166 0.500
Mg 0.000 0.000 0.000



# Y4ErTm2Mg

An optimized crystal structure of Y4ErTm2Mg (GGA-PBE, Alexandria via LeMat-Bulk).

Cell lengths 4.968, 4.973, 11.054 Å; angles 63.23, 90.00, 90.00 degrees
Fractional positions:
Er 0.000 0.500 0.500
Y 0.000 0.748 0.752
Y 0.000 0.252 0.248
Y 0.500 0.752 0.247
Y 0.500 0.248 0.753
Tm 0.000 0.000 0.000
Tm 0.500 0.000 0.500
Mg 0.500 0.500 0.000



# Y3Er6Tm2Mg

An optimized crystal structure of Y3Er6Tm2Mg (GGA-PBE, Alexandria via LeMat-Bulk).

Cell lengths 6.081, 6.081, 11.573 Å; angles 95.06, 95.06, 120.00 degrees
Fractional positions:
Y 0.500 0.500 0.500
Y 0.166 0.834 0.500
Y 0.834 0.166 0.500
Tm 0.666 0.334 0.000
Tm 0.334 0.666 0.000
Er 0.253 0.253 0.753
Er 0.415 0.081 0.246
Er 0.081 0.415 0.246
Er 0.747 0.747 0.247
Er 0.585 0.919 0.754
Er 0.919 0.585 0.754
Mg 0.000 0.000 0.000



# ErTmMgZn

An optimized crystal structure of ErTmMgZn (GGA-PBE, Alexandria via LeMat-Bulk).

Cell lengths 5.140, 5.140, 5.140 Å; angles 60.00, 60.00, 60.00 degrees
Fractional positions:
Mg 0.750 0.750 0.750
Er 0.500 0.500 0.500
Tm 0.000 0.000 0.000
Zn 0.250 0.250 0.250

- ΔE to the lowest computed polymorph: 0.034 eV per atom



# ErTmMgZn

An optimized crystal structure of ErTmMgZn (GGA-PBE, Alexandria via LeMat-Bulk).

Cell lengths 3.528, 3.528, 7.841 Å; angles 90.00, 90.00, 90.00 degrees
Fractional positions:
Mg 0.500 0.500 0.109
Zn 0.500 0.500 0.605
Tm 0.000 0.000 0.386
Er 0.000 0.000 0.828

- ΔE to the lowest computed polymorph: 0.000 eV per atom



# YEr2Mg

An optimized crystal structure of YEr2Mg (GGA-PBE, Alexandria via LeMat-Bulk).

Cell lengths 3.476, 3.476, 11.537 Å; angles 81.34, 81.34, 60.00 degrees
Fractional positions:
Y 0.667 0.667 0.000
Er 0.084 0.084 0.747
Er 0.249 0.249 0.254
Mg 0.500 0.500 0.500

- ΔE to the lowest computed polymorph: 0.081 eV per atom



# Y4ErMg2

An optimized crystal structure of Y4ErMg2 (GGA-PBE, Alexandria via LeMat-Bulk).

Cell lengths 5.561, 5.561, 9.297 Å; angles 72.60, 72.60, 60.00 degrees
Fractional positions:
Y 0.744 0.744 0.768
Y 0.129 0.129 0.614
Y 0.256 0.256 0.232
Y 0.871 0.871 0.386
Mg 0.378 0.378 0.865
Mg 0.622 0.622 0.135
Er 0.500 0.500 0.500

- ΔE to the lowest computed polymorph: 0.302 eV per atom



# Y3ErMg7

An optimized crystal structure of Y3ErMg7 (GGA-PBE, Alexandria via LeMat-Bulk).

Cell lengths 11.326, 11.326, 16.267 Å; angles 90.00, 90.00, 163.05 degrees
Fractional positions:
Mg 0.493 0.507 0.584
Mg 0.624 0.376 0.158
Mg 0.507 0.493 0.416
Mg 0.737 0.263 0.426
Mg 0.493 0.507 0.916
Mg 0.614 0.386 0.750
Mg 0.263 0.737 0.574
Mg 0.376 0.624 0.842
Mg 0.737 0.263 0.074
Mg 0.624 0.376 0.342
Mg 0.386 0.614 0.250
Mg 0.507 0.493 0.084
Mg 0.376 0.624 0.658
Mg 0.263 0.737 0.926
Y 0.761 0.239 0.750
Y 0.882 0.118 0.465
Y 0.239 0.761 0.250
Y 0.882 0.118 0.035
Y 0.118 0.882 0.535
Y 0.118 0.882 0.965
Er 0.987 0.013 0.750
Er 0.013 0.987 0.250



# Y2Er8Mg

An optimized crystal structure of Y2Er8Mg (GGA-PBE, Alexandria via LeMat-Bulk).

Cell lengths 5.460, 7.354, 9.765 Å; angles 112.12, 106.23, 90.00 degrees
Fractional positions:
Er 0.362 0.125 0.724
Er 0.818 0.818 0.637
Er 0.362 0.600 0.724
Er 0.182 0.182 0.363
Er 0.638 0.875 0.276
Er 0.000 0.253 0.000
Er 0.000 0.747 0.000
Er 0.638 0.400 0.276
Y 0.194 0.694 0.388
Y 0.806 0.306 0.612
Mg 0.500 0.000 0.000

- ΔE to the lowest computed polymorph: 0.000 eV per atom



| no. | Fermi-level density of states (states/eV/atom) | ΔH_f (0 K) (eV/atom) | volume (Å³ per atom) |
| --- | --- | --- | --- |
| 1 | 1.2173 | 0.020 | 28.86 |
| 2 | 1.6894 | 0.011 | 29.93 |
| 3 | 0.9601 | -0.052 | 25.91 |
| 4 | 1.4334 | 0.337 | 30.87 |
| 5 | 1.2266 | -0.029 | 28.01 |
| 6 | 1.0201 | 0.264 | 29.19 |
| 7 | 1.1539 | 0.017 | 27.49 |
| 8 | 1.2582 | 0.101 | 29.86 |
| 9 | 1.5035 | 0.033 | 30.13 |
| 10 | 0.8252 | 0.079 | 27.82 |
| 11 | 1.1118 | -0.027 | 28.45 |
| 12 | 1.5212 | 0.038 | 30.86 |
| 13 | 1.6009 | 0.024 | 30.48 |
| 14 | 1.5049 | 0.038 | 30.40 |
| 15 | 0.9230 | -0.171 | 24.00 |
| 16 | 0.9519 | -0.205 | 24.40 |
| 17 | 1.5162 | 0.050 | 29.72 |
| 18 | 1.8509 | 0.283 | 33.38 |
| 19 | 0.9332 | 0.085 | 27.65 |
| 20 | 1.6785 | 0.109 | 31.48 |